The following is a PBE calculation of MgAlSi2 after structural relaxation, from Alexandria.

Results
The total energy comes out at -3.88 eV per atom. The crystal system is orthorhombic. For the raw formation energy, the calculation gives 0.166 eV/atom.

Cell: 3.8237 4.0455 4.2537 Å, 90.00 90.00 90.00°
Space group Pmmm (No. 47)
Asymmetric unit:
1 Mg 0.0000 0.0000 0.0000 x1
2 Al 0.0000 0.5000 0.5000 x1
3 Si 0.5000 0.0000 0.5000 x1
4 Si 0.5000 0.5000 0.0000 x1

The following is a PBE calculation of MgAlSi2 after structural relaxation, from Alexandria.

Results
The total energy comes out at -3.88 eV per atom. The crystal system is orthorhombic. For the raw formation energy, the calculation gives 0.168 eV/atom.

Cell: 6.0108 7.5033 2.9369 Å, 90.00 90.00 90.00°
Space group Cmmm (No. 65)
Asymmetric unit:
1 Mg 0.0000 0.0000 0.0000 x2
2 Al 0.0000 0.5000 0.0000 x2
3 Si 0.2500 0.2500 0.5000 x4

The following is a PBE calculation of MgAlSiTc2 after structural relaxation, from Alexandria.

Results
The total energy comes out at -5.67 eV per atom. The crystal system is tetragonal. For the raw formation energy, the calculation gives 0.628 eV/atom.

Cell: 4.4848 4.4848 4.5670 Å, 90.00 90.00 90.00°
Space group P4/mmm (No. 123)
Asymmetric unit:
1 Mg 0.0000 0.0000 0.0000 x1
2 Al 0.5000 0.5000 0.0000 x1
3 Si 0.0000 0.0000 0.5000 x1
4 Tc 0.0000 0.5000 0.5000 x2

The following is a PBE calculation of MgAl2SiTe after structural relaxation, from Alexandria.

Results
The total energy comes out at -2.57 eV per atom. The crystal system is tetragonal. For the raw formation energy, the calculation gives 0.956 eV/atom.

Cell: 5.4532 5.4532 5.1708 Å, 90.00 90.00 90.00°
Space group P4/mmm (No. 123)
Asymmetric unit:
1 Mg 0.0000 0.0000 0.0000 x1
2 Al 0.0000 0.5000 0.5000 x2
3 Si 0.5000 0.5000 0.0000 x1
4 Te 0.5000 0.5000 0.5000 x1

The following is a PBE calculation of ThMg2AlSi2 after structural relaxation, from Alexandria.

Results
The total energy comes out at -3.96 eV per atom. The crystal system is tetragonal. For the raw formation energy, the calculation gives 0.243 eV/atom.

Cell: 5.2890 5.2890 10.4053 Å, 90.00 90.00 90.00°
Space group I4/mmm (No. 139)
Asymmetric unit:
1 Th 0.0000 0.0000 0.0000 x2
2 Mg 0.0000 0.5000 0.2500 x4
3 Al 0.0000 0.0000 0.5000 x2
4 Si 0.0000 0.0000 0.2717 x4

The following is a PBE calculation of SmMg16Al12 after structural relaxation, from Alexandria.

Results
The total energy comes out at -2.67 eV per atom. The energy of formation from the pure elements is -0.0745 eV/atom. The crystal system is cubic.

Cell: 10.5654 10.5654 10.5654 Å, 90.00 90.00 90.00°
Space group I-43m (No. 217)
Asymmetric unit:
1 Sm 0.0000 0.0000 0.0000 x2
2 Mg 0.0388 0.3582 0.6418 x24
3 Mg 0.1802 0.1802 0.1802 x8
4 Al 0.0915 0.0915 0.7218 x24

The following is a PBE calculation of SmMg11Al after structural relaxation, from Alexandria.

Results
The total energy comes out at -2.05 eV per atom. The energy of formation from the pure elements is -0.0505 eV/atom. The crystal system is monoclinic.

Cell: 5.8628 14.4250 7.6961 Å, 90.00 111.80 90.00°
Space group C2/m (No. 12)
Asymmetric unit:
1 Sm 0.0000 0.0000 0.0000 x2
2 Mg 0.0000 0.0000 0.5000 x2
3 Mg 0.1045 0.3953 0.2145 x8
4 Mg 0.1797 0.1735 0.3548 x8
5 Mg 0.2500 0.2500 0.0000 x4
6 Al 0.0000 0.5000 0.5000 x2

The following is a PBE calculation of SmMgAl after structural relaxation, from Alexandria.

Results
The total energy comes out at -3.57 eV per atom. The energy of formation from the pure elements is -0.2147 eV/atom. The crystal system is trigonal.

Cell: 4.7929 4.7929 7.4594 Å, 90.00 90.00 120.00°
Space group P-3m1 (No. 164)
Asymmetric unit:
1 Sm 0.0000 0.0000 0.2358 x2
2 Mg 0.3333 0.6667 0.5306 x2
3 Al 0.3333 0.6667 0.9750 x2

The following is a PBE calculation of Sm4MgAl2 after structural relaxation, from Alexandria.

Results
The total energy comes out at -4.06 eV per atom. The energy of formation from the pure elements is -0.0625 eV/atom. The crystal system is monoclinic.

Cell: 7.9015 6.4658 8.4870 Å, 90.00 112.29 90.00°
Space group P2_1/m (No. 11)
Asymmetric unit:
1 Sm 0.0129 0.2500 0.3849 x2
2 Sm 0.1866 0.7500 0.3266 x2
3 Sm 0.3969 0.0103 0.7540 x4
4 Mg 0.1831 0.2500 0.0527 x2
5 Al 0.2407 0.7500 0.9928 x2
6 Al 0.3984 0.2500 0.4240 x2

The following is a PBE calculation of Sm4Mg5Al2 after structural relaxation, from Alexandria.

Results
The total energy comes out at -3.26 eV per atom. The energy of formation from the pure elements is -0.1394 eV/atom. The crystal system is monoclinic.

Cell: 8.0889 3.5503 10.2964 Å, 90.00 94.35 90.00°
Space group P2/m (No. 10)
Asymmetric unit:
1 Sm 0.1563 0.0000 0.3733 x2
2 Sm 0.2637 0.0000 0.9447 x2
3 Mg 0.1935 0.5000 0.6651 x2
4 Mg 0.4275 0.5000 0.2030 x2
5 Mg 0.5000 0.5000 0.5000 x1
6 Al 0.0546 0.5000 0.1279 x2

The following is a PBE calculation of Sm3Mg5Al2 after structural relaxation, from Alexandria.

Results
The total energy comes out at -3.01 eV per atom. The energy of formation from the pure elements is -0.0508 eV/atom. The crystal system is orthorhombic.

Cell: 12.5865 13.3664 6.2278 Å, 90.00 90.00 90.00°
Space group Ibam (No. 72)
Asymmetric unit:
1 Sm 0.0000 0.0000 0.2500 x4
2 Sm 0.1283 0.2389 0.0000 x8
3 Mg 0.0000 0.5000 0.2500 x4
4 Mg 0.1167 0.3485 0.5000 x8
5 Mg 0.2459 0.5000 0.2500 x8
6 Al 0.1395 0.1506 0.5000 x8

The following is a PBE calculation of Sm8Mg2Al after structural relaxation, from Alexandria.

Results
The total energy comes out at -4.07 eV per atom. The energy of formation from the pure elements is -0.0116 eV/atom. The crystal system is monoclinic.

Cell: 18.2117 5.4056 7.2054 Å, 90.00 106.80 90.00°
Space group C2/m (No. 12)
Asymmetric unit:
1 Sm 0.0205 0.0000 0.2681 x4
2 Sm 0.0935 0.5000 0.9500 x4
3 Sm 0.1617 0.5000 0.4536 x4
4 Sm 0.1917 0.0000 0.7726 x4
5 Mg 0.1872 0.0000 0.2041 x4
6 Al 0.0000 0.5000 0.5000 x2